TlZnIr2 | GGA-PBE | optimized geometry

The structure in CIF format:
```
data_TlZnIr2
_chemical_formula_sum 'Tl4 Zn4 Ir8'
_symmetry_space_group_name_H-M 'F m -3 m'
_symmetry_Int_Tables_number 225
_symmetry_space_group_name_Hall '-F 4 2 3'
_cell_length_a 6.383
_cell_length_b 6.383
_cell_length_c 6.383
_cell_angle_alpha 90.00
_cell_angle_beta 90.00
_cell_angle_gamma 90.00
loop_
_atom_site_label
_atom_site_fract_x
_atom_site_fract_y
_atom_site_fract_z
Tl1 0.000 0.000 0.000
Zn1 0.000 0.000 0.500
Ir1 0.250 0.250 0.250
```

TlZnIr | GGA-PBE | optimized geometry

The structure in CIF format:
```
data_TlZnIr
_chemical_formula_sum 'Tl4 Zn4 Ir4'
_symmetry_space_group_name_H-M 'F -4 3 m'
_symmetry_Int_Tables_number 216
_symmetry_space_group_name_Hall 'F -4 2 3'
_cell_length_a 6.282
_cell_length_b 6.282
_cell_length_c 6.282
_cell_angle_alpha 90.00
_cell_angle_beta 90.00
_cell_angle_gamma 90.00
loop_
_atom_site_label
_atom_site_fract_x
_atom_site_fract_y
_atom_site_fract_z
Tl1 0.000 0.000 0.000
Zn1 0.000 0.000 0.500
Ir1 0.250 0.250 0.750
```

TlZn2Ir | GGA-PBE | optimized geometry

The structure in CIF format:
```
data_TlZn2Ir
_chemical_formula_sum 'Tl4 Zn8 Ir4'
_symmetry_space_group_name_H-M 'F m -3 m'
_symmetry_Int_Tables_number 225
_symmetry_space_group_name_Hall '-F 4 2 3'
_cell_length_a 6.454
_cell_length_b 6.454
_cell_length_c 6.454
_cell_angle_alpha 90.00
_cell_angle_beta 90.00
_cell_angle_gamma 90.00
loop_
_atom_site_label
_atom_site_fract_x
_atom_site_fract_y
_atom_site_fract_z
Tl1 0.000 0.000 0.000
Zn1 0.250 0.250 0.250
Ir1 0.000 0.000 0.500
```

TlZnIr2 | GGA-PBE | optimized geometry

The structure in CIF format:
```
data_TlZnIr2
_chemical_formula_sum 'Tl4 Zn4 Ir8'
_symmetry_space_group_name_H-M 'I -4 2 d'
_symmetry_Int_Tables_number 122
_symmetry_space_group_name_Hall 'I -4 2bw'
_cell_length_a 4.096
_cell_length_b 4.096
_cell_length_c 18.107
_cell_angle_alpha 90.00
_cell_angle_beta 90.00
_cell_angle_gamma 90.00
loop_
_atom_site_label
_atom_site_fract_x
_atom_site_fract_y
_atom_site_fract_z
Tl1 0.000 0.000 0.000
Zn1 0.000 0.000 0.500
Ir1 0.178 0.250 0.625
```

TlZnIr2 | GGA-PBE | optimized geometry

The structure in CIF format:
```
data_TlZnIr2
_chemical_formula_sum 'Tl2 Zn2 Ir4'
_symmetry_space_group_name_H-M 'C m m m'
_symmetry_Int_Tables_number 65
_symmetry_space_group_name_Hall '-C 2 2'
_cell_length_a 2.968
_cell_length_b 4.990
_cell_length_c 9.087
_cell_angle_alpha 90.00
_cell_angle_beta 90.00
_cell_angle_gamma 90.00
loop_
_atom_site_label
_atom_site_fract_x
_atom_site_fract_y
_atom_site_fract_z
Tl1 0.000 0.000 0.000
Zn1 0.000 0.000 0.500
Ir1 0.000 0.500 0.272
```

TlZn2Ir | GGA-PBE | optimized geometry

The structure in CIF format:
```
data_TlZn2Ir
_chemical_formula_sum 'Tl2 Zn4 Ir2'
_symmetry_space_group_name_H-M 'C m m 2'
_symmetry_Int_Tables_number 35
_cell_length_a 3.051
_cell_length_b 5.090
_cell_length_c 9.413
_cell_angle_alpha 90.00
_cell_angle_beta 90.00
_cell_angle_gamma 90.00
loop_
_symmetry_equiv_pos_as_xyz
'x,y,z'
'-x,-y,z'
'-x,y,z'
'x,-y,z'
'x+1/2,y+1/2,z'
'-x+1/2,-y+1/2,z'
'-x+1/2,y+1/2,z'
'x+1/2,-y+1/2,z'
loop_
_atom_site_label
_atom_site_fract_x
_atom_site_fract_y
_atom_site_fract_z
Tl1 0.000 0.000 0.000
Zn1 0.000 0.000 0.477
Zn2 0.000 0.500 0.704
Ir1 0.000 0.500 0.263
```

TlZn2Ir | GGA-PBE | optimized geometry

The structure in CIF format:
```
data_TlZn2Ir
_chemical_formula_sum 'Tl4 Zn8 Ir4'
_symmetry_space_group_name_H-M 'F -4 3 m'
_symmetry_Int_Tables_number 216
_symmetry_space_group_name_Hall 'F -4 2 3'
_cell_length_a 6.474
_cell_length_b 6.474
_cell_length_c 6.474
_cell_angle_alpha 90.00
_cell_angle_beta 90.00
_cell_angle_gamma 90.00
loop_
_atom_site_label
_atom_site_fract_x
_atom_site_fract_y
_atom_site_fract_z
Tl1 0.000 0.000 0.000
Zn1 0.000 0.000 0.500
Zn2 0.250 0.250 0.250
Ir1 0.250 0.250 0.750
```

TlZnIr2 | GGA-PBE | optimized geometry

The structure in CIF format:
```
data_TlZnIr2
_chemical_formula_sum 'Tl2 Zn2 Ir4'
_symmetry_space_group_name_H-M 'I -4 m 2'
_symmetry_Int_Tables_number 119
_symmetry_space_group_name_Hall 'I -4 -2'
_cell_length_a 4.014
_cell_length_b 4.014
_cell_length_c 8.184
_cell_angle_alpha 90.00
_cell_angle_beta 90.00
_cell_angle_gamma 90.00
loop_
_atom_site_label
_atom_site_fract_x
_atom_site_fract_y
_atom_site_fract_z
Tl1 0.000 0.000 0.000
Zn1 0.000 0.500 0.750
Ir1 0.000 0.000 0.500
Ir2 0.000 0.500 0.250
```

| no. | D(E_F) (states/eV/cell) | E above lowest polymorph (eV per atom) |
| --- | --- | --- |
| 1 | 5.49 | 0.0288 |
| 2 | 5.36 | 0.0196 |
| 3 | 8.36 | 0.2710 |
| 4 | 9.60 | 0.2650 |
| 5 | 6.32 | 0.1333 |
| 6 | 3.77 | 0.3164 |
| 7 | 10.20 | 0.2898 |
| 8 | 8.80 | 0.1732 |